{
  "formula": "Pa2CuB",
  "functional": "PBE",
  "state": "optimized geometry",
  "lattice": [[-2.842, 1.604, -0.355], [-1.379, 0.258, -2.967], [-5.832, -6.907, 0.294]],
  "species": ["B", "Pa", "Pa", "Cu"],
  "fractional_positions": [[0.500, 0.500, 0.500], [0.108, 0.108, 0.676], [0.892, 0.892, 0.324], [0.000, 0.000, 0.000]],
  "e_tot_ev_per_atom": -7.0505,
  "spacegroup": "R-3m (166)",
  "n_ef_per_ev_cell": 6.18,
  "m_tot_mub_per_cell": 0.0
}

=====

{
  "formula": "La2Ga4NiPt3",
  "functional": "PBE",
  "state": "optimized geometry",
  "lattice": [[4.338, 0.000, 0.000], [0.000, 4.338, 0.000], [0.000, 0.000, 10.378]],
  "species": ["La", "La", "Ga", "Ga", "Ga", "Ga", "Ni", "Pt", "Pt", "Pt"],
  "fractional_positions": [[0.500, 0.000, 0.251], [0.000, 0.500, 0.749], [0.500, 0.500, 0.000], [0.000, 0.000, 0.000], [0.500, 0.000, 0.621], [0.000, 0.500, 0.379], [0.500, 0.500, 0.500], [0.000, 0.000, 0.500], [0.500, 0.000, 0.866], [0.000, 0.500, 0.134]],
  "e_tot_ev_per_atom": -5.4811,
  "spacegroup": "P-4m2 (115)",
  "n_ef_per_ev_cell": 10.42,
  "m_tot_mub_per_cell": 0.0
}

=====

{
  "formula": "Te2IrCl",
  "functional": "PBE",
  "state": "optimized geometry",
  "lattice": [[-3.304, 1.609, 1.453], [-2.916, -2.321, 1.313], [0.999, -0.181, 7.843]],
  "species": ["Te", "Te", "Ir", "Cl"],
  "fractional_positions": [[0.063, 0.063, 0.810], [0.275, 0.275, 0.176], [0.669, 0.669, 0.994], [0.493, 0.493, 0.521]],
  "spacegroup": "R3m (160)",
  "n_ef_per_ev_cell": 3.39,
  "e_form_raw_ev_per_atom": -0.243,
  "m_tot_mub_per_cell": 0.0
}

=====

{
  "formula": "CuAs2Cl",
  "functional": "PBE",
  "state": "optimized geometry",
  "lattice": [[8.617, 1.706, -0.465], [6.543, 5.861, 0.465], [-7.358, -4.227, 2.315]],
  "species": ["As", "As", "Cu", "Cl"],
  "fractional_positions": [[0.036, 0.036, 0.000], [0.464, 0.464, 0.000], [0.250, 0.750, 0.500], [0.750, 0.250, 0.500]],
  "spacegroup": "Immm (71)",
  "n_ef_per_ev_cell": 2.03,
  "e_form_raw_ev_per_atom": 0.098,
  "m_tot_mub_per_cell": 0.0
}

=====

{
  "formula": "Rb2CaTc2N4",
  "functional": "PBE",
  "state": "optimized geometry",
  "lattice": [[-2.223, -0.813, 2.657], [0.437, -6.104, -3.884], [5.333, 0.462, 4.602]],
  "species": ["Rb", "Rb", "Ca", "Tc", "Tc", "N", "N", "N", "N"],
  "fractional_positions": [[0.871, 0.742, 0.489], [0.129, 0.258, 0.511], [0.000, 0.000, 0.000], [0.323, 0.647, 0.035], [0.677, 0.353, 0.965], [0.798, 0.596, 0.869], [0.202, 0.404, 0.131], [0.457, 0.915, 0.199], [0.543, 0.085, 0.801]],
  "spacegroup": "C2/m (12)",
  "n_ef_per_ev_cell": 2.87,
  "e_form_raw_ev_per_atom": -0.250,
  "m_tot_mub_per_cell": 0.0
}

=====

{
  "formula": "U2SiN",
  "functional": "PBE",
  "state": "optimized geometry",
  "lattice": [[-0.125, 0.621, -3.645], [-0.235, -2.845, -2.354], [-6.263, -0.450, -1.739]],
  "species": ["Si", "U", "U", "N"],
  "fractional_positions": [[0.000, 0.000, 0.000], [0.767, 0.767, 0.700], [0.233, 0.233, 0.300], [0.500, 0.500, 0.500]],
  "spacegroup": "R-3m (166)",
  "n_ef_per_ev_cell": 7.63,
  "e_form_raw_ev_per_atom": -0.534,
  "m_tot_mub_per_cell": 3.0
}

=====

{
  "formula": "Na2Mn2CrS6",
  "functional": "PBE",
  "state": "optimized geometry",
  "lattice": [[-0.822, -0.155, -5.905], [-4.168, -2.193, 3.659], [-1.282, 6.816, 1.004]],
  "species": ["Na", "Na", "Mn", "Mn", "Cr", "S", "S", "S", "S", "S", "S"],
  "fractional_positions": [[0.835, 0.165, 0.000], [0.165, 0.835, 0.000], [0.333, 0.667, 0.500], [0.667, 0.333, 0.500], [0.000, 0.000, 0.500], [0.726, 0.726, 0.693], [0.064, 0.402, 0.692], [0.274, 0.274, 0.307], [0.402, 0.064, 0.692], [0.936, 0.598, 0.308], [0.598, 0.936, 0.308]],
  "spacegroup": "C2/m (12)",
  "n_ef_per_ev_cell": 4.89,
  "e_form_raw_ev_per_atom": -0.791,
  "m_tot_mub_per_cell": 8.0
}

=====

{
  "formula": "YIrPt2",
  "functional": "PBE",
  "state": "optimized geometry",
  "lattice": [[-2.148, -1.873, -0.876], [-0.831, -0.375, 2.839], [-5.054, 6.111, -0.672]],
  "species": ["Ir", "Pt", "Pt", "Y"],
  "fractional_positions": [[0.500, 0.500, 0.765], [0.000, 0.000, 0.994], [0.500, 0.500, 0.237], [0.000, 0.000, 0.504]],
  "e_tot_ev_per_atom": -7.1040,
  "spacegroup": "P4mm (99)",
  "n_ef_per_ev_cell": 5.04,
  "m_tot_mub_per_cell": 0.0
}

=====

{
  "formula": "NaTiPbCl6",
  "functional": "PBE",
  "state": "optimized geometry",
  "lattice": [[6.962, 0.000, 0.000], [-3.481, 6.029, 0.000], [0.000, 0.000, 11.993]],
  "species": ["Na", "Na", "Ti", "Ti", "Pb", "Pb", "Cl", "Cl", "Cl", "Cl", "Cl", "Cl", "Cl", "Cl", "Cl", "Cl", "Cl", "Cl"],
  "fractional_positions": [[0.000, 0.000, 0.000], [0.000, 0.000, 0.500], [0.667, 0.333, 0.250], [0.333, 0.667, 0.750], [0.333, 0.667, 0.250], [0.667, 0.333, 0.750], [0.672, 0.622, 0.131], [0.950, 0.328, 0.131], [0.328, 0.950, 0.631], [0.050, 0.672, 0.869], [0.378, 0.328, 0.369], [0.950, 0.622, 0.369], [0.622, 0.950, 0.869], [0.672, 0.050, 0.369], [0.050, 0.378, 0.631], [0.378, 0.050, 0.131], [0.622, 0.672, 0.631], [0.328, 0.378, 0.869]],
  "spacegroup": "P-31c (163)",
  "n_ef_per_ev_cell": 13.21,
  "e_form_raw_ev_per_atom": -1.469,
  "m_tot_mub_per_cell": 2.0
}

=====

{
  "formula": "Sn2SeF",
  "functional": "PBE",
  "state": "optimized geometry",
  "lattice": [[3.791, 0.000, 0.000], [1.896, 3.283, 0.000], [1.896, 1.094, 8.556]],
  "species": ["Sn", "Sn", "Se", "F"],
  "fractional_positions": [[0.088, 0.088, 0.735], [0.912, 0.912, 0.265], [0.500, 0.500, 0.500], [0.000, 0.000, 0.000]],
  "spacegroup": "R-3m (166)",
  "n_ef_per_ev_cell": 0.70,
  "e_form_raw_ev_per_atom": -0.814,
  "m_tot_mub_per_cell": 0.0
}

=====

{
  "formula": "V2Ir5W",
  "functional": "PBE",
  "state": "optimized geometry",
  "lattice": [[3.866, 0.000, 0.000], [0.000, 5.456, 0.000], [0.000, 0.000, 10.919]],
  "species": ["V", "V", "V", "V", "Ir", "Ir", "Ir", "Ir", "Ir", "Ir", "Ir", "Ir", "Ir", "Ir", "W", "W"],
  "fractional_positions": [[0.500, 0.260, 0.372], [0.500, 0.740, 0.628], [0.500, 0.240, 0.872], [0.500, 0.760, 0.128], [0.500, 0.254, 0.124], [0.500, 0.746, 0.876], [0.500, 0.754, 0.376], [0.500, 0.246, 0.624], [0.000, 0.993, 0.749], [0.000, 0.007, 0.251], [0.000, 0.493, 0.751], [0.000, 0.507, 0.249], [0.000, 0.500, 0.500], [0.000, 0.000, 0.000], [0.000, 0.000, 0.500], [0.000, 0.500, 0.000]],
  "e_tot_ev_per_atom": -9.8417,
  "spacegroup": "Pbam (55)",
  "n_ef_per_ev_cell": 12.49,
  "m_tot_mub_per_cell": 0.0
}

=====

{
  "formula": "Rb3AgGe2Br9",
  "functional": "PBE",
  "state": "optimized geometry",
  "lattice": [[-4.720, -1.700, 5.948], [6.376, -4.281, -1.254], [5.013, 5.816, 5.640]],
  "species": ["Rb", "Rb", "Rb", "Ag", "Ge", "Ge", "Br", "Br", "Br", "Br", "Br", "Br", "Br", "Br", "Br"],
  "fractional_positions": [[0.333, 0.667, 0.666], [0.000, 0.000, 0.000], [0.667, 0.333, 0.334], [0.000, 0.000, 0.500], [0.333, 0.667, 0.173], [0.667, 0.333, 0.827], [0.830, 0.170, 0.670], [0.830, 0.661, 0.670], [0.339, 0.170, 0.670], [0.661, 0.830, 0.330], [0.170, 0.339, 0.330], [0.170, 0.830, 0.330], [0.500, 0.000, 0.000], [0.000, 0.500, 0.000], [0.500, 0.500, 0.000]],
  "spacegroup": "P-3m1 (164)",
  "n_ef_per_ev_cell": 3.46,
  "e_form_raw_ev_per_atom": -1.006,
  "m_tot_mub_per_cell": 0.0
}

=====

{
  "formula": "RbBe3Pt",
  "functional": "PBE",
  "state": "optimized geometry",
  "lattice": [[-0.130, 3.945, -2.215], [-0.533, -2.214, -3.911], [-4.492, 0.149, 0.528]],
  "species": ["Be", "Be", "Be", "Rb", "Pt"],
  "fractional_positions": [[0.000, 0.500, 0.000], [0.000, 0.000, 0.500], [0.500, 0.000, 0.000], [0.500, 0.500, 0.500], [0.000, 0.000, 0.000]],
  "e_tot_ev_per_atom": -3.4878,
  "spacegroup": "Pm-3m (221)",
  "n_ef_per_ev_cell": 2.48,
  "m_tot_mub_per_cell": 0.0
}

=====

{
  "formula": "Ti2Ga2Ir",
  "functional": "PBE",
  "state": "optimized geometry",
  "lattice": [[6.469, 0.000, 0.000], [0.000, 6.469, 0.000], [0.000, 0.000, 7.522]],
  "species": ["Ti", "Ti", "Ti", "Ti", "Ti", "Ti", "Ti", "Ti", "Ga", "Ga", "Ga", "Ga", "Ga", "Ga", "Ga", "Ga", "Ir", "Ir", "Ir", "Ir"],
  "fractional_positions": [[0.668, 0.830, 0.500], [0.332, 0.170, 0.500], [0.832, 0.330, 0.000], [0.168, 0.670, 0.000], [0.830, 0.332, 0.500], [0.170, 0.668, 0.500], [0.330, 0.168, 0.000], [0.670, 0.832, 0.000], [0.364, 0.864, 0.250], [0.636, 0.136, 0.250], [0.136, 0.364, 0.750], [0.864, 0.636, 0.750], [0.864, 0.636, 0.250], [0.136, 0.364, 0.250], [0.364, 0.864, 0.750], [0.636, 0.136, 0.750], [0.500, 0.500, 0.194], [0.000, 0.000, 0.694], [0.500, 0.500, 0.806], [0.000, 0.000, 0.306]],
  "e_tot_ev_per_atom": -6.7450,
  "spacegroup": "P4/mnc (128)",
  "n_ef_per_ev_cell": 5.44,
  "m_tot_mub_per_cell": 0.0
}

=====

{
  "formula": "TbYP",
  "functional": "PBE",
  "state": "optimized geometry",
  "lattice": [[-0.113, 0.676, -3.859], [3.379, -0.998, 1.717], [-1.290, -6.160, -1.041]],
  "species": ["Y", "P", "Tb"],
  "fractional_positions": [[0.000, 0.000, 0.085], [0.667, 0.333, 0.333], [0.333, 0.667, 0.582]],
  "e_tot_ev_per_atom": -6.4896,
  "spacegroup": "P3m1 (156)",
  "n_ef_per_ev_cell": 3.30,
  "m_tot_mub_per_cell": 0.0
}

=====

{
  "formula": "BaNpTc2O8",
  "functional": "PBE",
  "state": "optimized geometry",
  "lattice": [[5.973, 0.000, 0.000], [-2.987, 5.173, 0.000], [0.000, 0.000, 7.541]],
  "species": ["Ba", "Np", "Tc", "Tc", "O", "O", "O", "O", "O", "O", "O", "O"],
  "fractional_positions": [[0.000, 0.000, 0.000], [0.000, 0.000, 0.500], [0.667, 0.333, 0.230], [0.333, 0.667, 0.770], [0.333, 0.667, 0.006], [0.326, 0.157, 0.309], [0.843, 0.169, 0.309], [0.667, 0.333, 0.994], [0.157, 0.831, 0.691], [0.674, 0.843, 0.691], [0.169, 0.326, 0.691], [0.831, 0.674, 0.309]],
  "spacegroup": "P-3 (147)",
  "n_ef_per_ev_cell": 4.44,
  "e_form_raw_ev_per_atom": -1.965,
  "m_tot_mub_per_cell": 7.1
}

=====

{
  "formula": "ScCd2Sb",
  "functional": "PBE",
  "state": "optimized geometry",
  "lattice": [[3.285, 0.020, 0.000], [-0.017, 3.285, 0.000], [0.000, 0.000, 8.968]],
  "species": ["Cd", "Cd", "Sb", "Sc"],
  "fractional_positions": [[0.000, 0.000, 0.982], [0.000, 0.000, 0.518], [0.500, 0.500, 0.250], [0.500, 0.500, 0.750]],
  "spacegroup": "P4/mmm (123)",
  "n_ef_per_ev_cell": 2.84,
  "e_form_raw_ev_per_atom": -0.075,
  "m_tot_mub_per_cell": 0.5
}

=====

{
  "formula": "TlGaHCl2",
  "functional": "PBE",
  "state": "optimized geometry",
  "lattice": [[-5.330, -1.077, -0.720], [0.741, -0.032, -5.435], [0.716, -3.624, 0.119]],
  "species": ["H", "Tl", "Ga", "Cl", "Cl"],
  "fractional_positions": [[0.000, 0.000, 0.500], [0.500, 0.500, 0.500], [0.000, 0.000, 0.000], [0.000, 0.500, 0.000], [0.500, 0.000, 0.000]],
  "e_tot_ev_per_atom": -3.0826,
  "spacegroup": "P4/mmm (123)",
  "n_ef_per_ev_cell": 1.01,
  "m_tot_mub_per_cell": 0.0
}

=====

{
  "formula": "TlOsI2",
  "functional": "PBE",
  "state": "optimized geometry",
  "lattice": [[-3.817, -1.339, 3.632], [-4.617, 2.858, 0.271], [-4.674, -2.223, -1.663]],
  "species": ["I", "I", "Tl", "Os"],
  "fractional_positions": [[0.250, 0.250, 0.250], [0.750, 0.750, 0.750], [0.500, 0.500, 0.500], [0.000, 0.000, 0.000]],
  "spacegroup": "Fm-3m (225)",
  "n_ef_per_ev_cell": 1.39,
  "e_form_raw_ev_per_atom": 1.131,
  "m_tot_mub_per_cell": 3.1
}

=====

{
  "formula": "CaCePb",
  "functional": "PBE",
  "state": "optimized geometry",
  "lattice": [[3.654, 0.000, 0.000], [0.000, 3.654, 0.000], [-1.827, -1.827, 7.396]],
  "species": ["Pb", "Ca", "Ce"],
  "fractional_positions": [[0.283, 0.283, 0.567], [0.932, 0.932, 0.864], [0.634, 0.634, 0.269]],
  "e_tot_ev_per_atom": -4.0722,
  "spacegroup": "I4mm (107)",
  "n_ef_per_ev_cell": 7.89,
  "m_tot_mub_per_cell": 1.6
}

=====

{
  "formula": "RbSnB",
  "functional": "PBE",
  "state": "optimized geometry",
  "lattice": [[5.193, -2.998, 0.000], [0.000, 5.997, 0.000], [0.000, 0.000, 8.157]],
  "species": ["B", "B", "Sn", "Sn", "Rb", "Rb"],
  "fractional_positions": [[0.000, 0.000, 0.250], [0.000, 0.000, 0.750], [0.000, 0.000, 0.000], [0.000, 0.000, 0.500], [0.333, 0.667, 0.250], [0.667, 0.333, 0.750]],
  "e_tot_ev_per_atom": -3.1515,
  "spacegroup": "P6_3/mmc (194)",
  "n_ef_per_ev_cell": 0.77,
  "m_tot_mub_per_cell": 0.0
}

=====

{
  "formula": "CsRb2TeSe",
  "functional": "PBE",
  "state": "optimized geometry",
  "lattice": [[-1.442, -4.919, 4.017], [1.601, -4.268, -4.652], [6.255, -0.043, 2.192]],
  "species": ["Cs", "Te", "Se", "Rb", "Rb"],
  "fractional_positions": [[0.000, 0.000, 0.500], [0.500, 0.500, 0.500], [0.000, 0.000, 0.000], [0.000, 0.500, 0.000], [0.500, 0.000, 0.000]],
  "spacegroup": "P4/mmm (123)",
  "n_ef_per_ev_cell": 11.31,
  "e_form_raw_ev_per_atom": -0.724,
  "m_tot_mub_per_cell": 0.9
}

=====

{
  "formula": "KIrRuPt2",
  "functional": "PBE",
  "state": "optimized geometry",
  "lattice": [[4.785, 0.000, 0.000], [0.000, 4.989, 0.000], [0.000, 0.000, 4.785]],
  "species": ["Ru", "K", "Ir", "Pt", "Pt"],
  "fractional_positions": [[0.000, 0.000, 0.000], [0.000, 0.500, 0.000], [0.500, 0.500, 0.500], [0.000, 0.000, 0.500], [0.500, 0.000, 0.000]],
  "e_tot_ev_per_atom": -4.3739,
  "spacegroup": "P4/mmm (123)",
  "n_ef_per_ev_cell": 8.18,
  "m_tot_mub_per_cell": 1.2
}

=====

{
  "formula": "TaSiP",
  "functional": "PBE",
  "state": "optimized geometry",
  "lattice": [[-0.978, -0.106, 4.016], [0.890, -3.348, 2.256], [2.982, 0.167, 2.859]],
  "species": ["P", "Si", "Ta"],
  "fractional_positions": [[0.750, 0.750, 0.750], [0.000, 0.000, 0.000], [0.500, 0.500, 0.500]],
  "spacegroup": "F-43m (216)",
  "n_ef_per_ev_cell": 1.73,
  "e_form_raw_ev_per_atom": 0.188,
  "m_tot_mub_per_cell": 0.0
}

=====

{
  "formula": "Tb2HoMgN",
  "functional": "PBE",
  "state": "optimized geometry",
  "lattice": [[-3.158, -3.614, 0.382], [3.358, -2.683, 2.381], [-1.574, 1.828, 4.280]],
  "species": ["Tb", "Tb", "Ho", "Mg", "N"],
  "fractional_positions": [[0.000, 0.000, 0.500], [0.000, 0.500, 0.000], [0.500, 0.000, 0.000], [0.500, 0.500, 0.500], [0.000, 0.000, 0.000]],
  "spacegroup": "P4/mmm (123)",
  "n_ef_per_ev_cell": 5.23,
  "e_form_raw_ev_per_atom": -0.703,
  "m_tot_mub_per_cell": 0.0
}

=====

{
  "formula": "PmGd3N",
  "functional": "PBE",
  "state": "optimized geometry",
  "lattice": [[-0.337, 2.953, 4.059], [1.049, -3.937, 2.951], [4.909, 1.044, -0.352]],
  "species": ["N", "Gd", "Gd", "Gd", "Pm"],
  "fractional_positions": [[0.000, 0.000, 0.000], [0.000, 0.500, 0.000], [0.000, 0.000, 0.500], [0.500, 0.000, 0.000], [0.500, 0.500, 0.500]],
  "spacegroup": "Pm-3m (221)",
  "n_ef_per_ev_cell": 5.96,
  "e_form_raw_ev_per_atom": -0.494,
  "m_tot_mub_per_cell": 22.7
}